No. 1
{
  "formula": "HoAl4Hg",
  "functional": "PBE",
  "state": "optimized geometry",
  "cell": [[-2.0257, 0.4201, -5.1475], [-4.2757, -3.1693, -1.5655], [-4.9848, 2.2850, -0.8414]],
  "species": ["Ho", "Al", "Al", "Al", "Al", "Hg"],
  "frac_coords": [[0.2500, 0.2500, 0.2500], [0.6241, 0.6241, 0.6241], [0.6241, 0.6241, 0.1276], [0.1276, 0.6241, 0.6241], [0.6241, 0.1276, 0.6241], [0.0000, 0.0000, 0.0000]],
  "m_tot_mub_per_fu": 0.00,
  "formation_enthalpy_0k_ev_per_atom": -0.13,
  "volume_a3_per_atom": 20.12
}


No. 2
{
  "formula": "Ho2Al3Hg",
  "functional": "PBE",
  "state": "optimized geometry",
  "cell": [[-1.6859, -3.2239, 4.5384], [0.5710, -3.7896, -4.3756], [8.1515, 2.3459, 1.9150]],
  "species": ["Al", "Al", "Al", "Al", "Al", "Al", "Hg", "Hg", "Ho", "Ho", "Ho", "Ho"],
  "frac_coords": [[0.8351, 0.3294, 0.1645], [0.3294, 0.8351, 0.1645], [0.1642, 0.1642, 0.3284], [0.8358, 0.8358, 0.6716], [0.6706, 0.1649, 0.8355], [0.1649, 0.6706, 0.8355], [0.3331, 0.3331, 0.6662], [0.6669, 0.6669, 0.3338], [0.2500, 0.7500, 0.5000], [0.2504, 0.2504, 0.0000], [0.7500, 0.2500, 0.5000], [0.7496, 0.7496, 0.0000]],
  "m_tot_mub_per_fu": 0.00,
  "formation_enthalpy_0k_ev_per_atom": -0.46,
  "volume_a3_per_atom": 21.64
}